Material: Nd2Bi7O14
Method: DFT, meta-GGA SCAN
State: single point on PBEsol structure

a b c (Å): 20.835 3.867 10.133
angles (deg): 90.00 113.92 90.00
Space group Cm (No. 8)
One atom of each set of equivalent atoms:
Nd 0.000 0.000 0.000 x2
Nd 0.168 0.500 0.015 x2
Bi 0.012 0.500 0.358 x2
Bi 0.159 0.000 0.690 x2
Bi 0.179 0.000 0.345 x2
Bi 0.328 0.500 0.679 x2
Bi 0.339 0.000 0.030 x2
Bi 0.345 0.500 0.344 x2
Bi 0.494 0.000 0.684 x2
O 0.020 0.000 0.479 x2
O 0.039 0.500 0.918 x2
O 0.107 0.500 0.742 x2
O 0.113 0.500 0.345 x2
O 0.129 0.000 0.117 x2
O 0.205 0.000 0.921 x2
O 0.228 0.500 0.695 x2
O 0.233 0.500 0.287 x2
O 0.302 0.500 0.111 x2
O 0.323 0.000 0.575 x2
O 0.375 0.500 0.907 x2
O 0.380 0.000 0.282 x2
O 0.454 0.500 0.741 x2
O 0.465 0.000 0.118 x2

Summary:
Its uncorrected formation energy is -1.629 eV per atom. The total energy comes out at -33.13 eV per atom. Its spin magnetization is 0.0 μB per cell.

Material: ZrZn2Co2
Method: DFT, meta-GGA SCAN
State: single point on PBEsol structure

a b c (Å): 3.632 3.632 10.652
angles (deg): 90.00 90.00 90.00
Space group I4/mmm (No. 139)
One atom of each set of equivalent atoms:
Zr 0.000 0.000 0.000 x2
Zn 0.000 0.500 0.250 x4
Co 0.000 0.000 0.399 x4

Summary:
The total energy comes out at -18.46 eV per atom. The formation energy is 0.0112 eV per atom. Its spin magnetization is 0.0 μB per cell.

Material: TiCr2HgGe
Method: DFT, meta-GGA SCAN
State: single point on PBEsol structure

a b c (Å): 4.397 4.397 5.128
angles (deg): 90.00 90.00 90.00
Space group P4/mmm (No. 123)
One atom of each set of equivalent atoms:
Ti 0.000 0.000 0.000 x1
Cr 0.000 0.500 0.000 x2
Hg 0.000 0.000 0.500 x1
Ge 0.500 0.500 0.500 x1

Summary:
The total energy comes out at -26.81 eV per atom. The formation energy is 1.1984 eV per atom. Its spin magnetization is 5.5 μB per cell.

Material: BaSc4Zn
Method: DFT, meta-GGA SCAN
State: single point on PBEsol structure

a b c (Å): 8.606 8.606 8.606
angles (deg): 90.00 90.00 90.00
Space group F-43m (No. 216)
One atom of each set of equivalent atoms:
Ba 0.000 0.000 0.000 x4
Sc 0.123 0.123 0.377 x16
Zn 0.250 0.250 0.750 x4

Summary:
The total energy comes out at -17.85 eV per atom. The formation energy is 0.4871 eV per atom. Its spin magnetization is 0.0 μB per cell.

Material: Li3HPb
Method: DFT, meta-GGA SCAN
State: single point on PBEsol structure

a b c (Å): 4.151 4.151 4.151
angles (deg): 90.00 90.00 90.00
Space group Pm-3m (No. 221)
One atom of each set of equivalent atoms:
Li 0.000 0.000 0.500 x3
H 0.000 0.000 0.000 x1
Pb 0.500 0.500 0.500 x1

Summary:
The total energy comes out at -17.66 eV per atom. Its spin magnetization is 0.0 μB per cell.

Material: YMo2W
Method: DFT, meta-GGA SCAN
State: single point on PBEsol structure

a b c (Å): 3.157 3.157 7.243
angles (deg): 90.00 90.00 90.00
Space group P4mm (No. 99)
One atom of each set of equivalent atoms:
Y 0.000 0.000 0.000 x1
Mo 0.000 0.000 0.499 x1
Mo 0.500 0.500 0.296 x1
W 0.500 0.500 0.705 x1

Summary:
The energy above the most stable polymorph in this dataset comes out at 0.000 eV/atom. The total energy comes out at -41.46 eV per atom. The formation energy is 0.3604 eV per atom. Its spin magnetization is 0.0 μB per cell.